A relaxed structure of Sr3TaN4. Source: Alexandria via LeMat-Bulk, functional PBE.

Calculated values
Energy   -7.12 eV/atom
Formation energy without anion corrections   -0.846 eV per atom

Cell lengths 7.6313, 7.6016, 9.8367 Å; angles 90.00, 90.00, 90.00 degrees
Closest atoms and distances in Å follow each position.
Space group Cmcm (No. 63)
Asymmetric unit:
1 Sr 0.0000 0.2413 0.2500 [4 per cell]  6 N 2.67-2.95
2 Sr 0.2462 0.0000 0.0000 [8 per cell]  4 N 2.51-2.62
3 Ta 0.0000 0.3066 0.7500 [4 per cell]  4 N 1.93-2.05
4 N 0.0000 0.2306 0.5497 [8 per cell]  1 Ta 2.05
5 N 0.1958 0.4668 0.7500 [8 per cell]  1 Ta 1.93